No. 1
VASP calculation (meta-GGA SCAN) on HoLuRh2 at its PBEsol-relaxed geometry.

Cell lengths 4.703, 4.703, 4.703 Å; angles 60.00, 60.00, 60.00 degrees
Positions (direct):
Ho: 0.000 0.000 0.000
Lu: 0.500 0.500 0.500
Rh: 0.250 0.250 0.250
Rh: 0.750 0.750 0.750

## Properties
Formation energy = -1.1025 eV per atom
Final energy = -44.071 eV/atom
SG = Fm-3m

***

No. 2
VASP calculation (meta-GGA SCAN) on HoLuZn2 at its PBEsol-relaxed geometry.

Cell lengths 4.894, 4.894, 4.894 Å; angles 60.00, 60.00, 60.00 degrees
Positions (direct):
Ho: 0.000 0.000 0.000
Lu: 0.500 0.500 0.500
Zn: 0.250 0.250 0.250
Zn: 0.750 0.750 0.750

## Properties
Formation energy = -0.4353 eV per atom
Final energy = -33.276 eV/atom
SG = Fm-3m

***

No. 3
VASP calculation (meta-GGA SCAN) on Ho3Mg at its PBEsol-relaxed geometry.

Cell lengths 3.469, 3.469, 9.199 Å; angles 90.00, 90.00, 90.00 degrees
Positions (direct):
Ho: 0.000 0.000 0.000
Ho: 0.500 0.500 0.259
Ho: 0.500 0.500 0.741
Mg: 0.000 0.000 0.500

## Properties
Formation energy = -0.0247 eV per atom
Final energy = -38.009 eV/atom
SG = P4/mmm
Energy above the lowest structure with this stoichiometry = 0 meV/atom

***

No. 4
VASP calculation (meta-GGA SCAN) on Ho3Mg at its PBEsol-relaxed geometry.

Cell lengths 6.867, 6.867, 5.424 Å; angles 90.00, 90.00, 120.00 degrees
Positions (direct):
Ho: 0.170 0.339 0.250
Ho: 0.170 0.830 0.250
Ho: 0.339 0.170 0.750
Ho: 0.661 0.830 0.250
Ho: 0.830 0.170 0.750
Ho: 0.830 0.661 0.750
Mg: 0.333 0.667 0.750
Mg: 0.667 0.333 0.250

## Properties
Formation energy = -0.0021 eV per atom
Final energy = -37.986 eV/atom
SG = P6_3/mmc
Energy above the lowest structure with this stoichiometry = 23 meV/atom

***

No. 5
VASP calculation (meta-GGA SCAN) on HoMg5 at its PBEsol-relaxed geometry.

Cell lengths 6.184, 6.184, 7.013 Å; angles 106.85, 106.85, 34.12 degrees
Positions (direct):
Ho: 0.000 0.000 0.000
Mg: 0.000 0.000 0.500
Mg: 0.325 0.325 0.171
Mg: 0.329 0.329 0.656
Mg: 0.671 0.671 0.344
Mg: 0.675 0.675 0.829

## Properties
Formation energy = 0.0005 eV per atom
Final energy = -12.309 eV/atom
SG = C2/m

***

No. 6
VASP calculation (meta-GGA SCAN) on Ho2MgTiO6 at its PBEsol-relaxed geometry.

Cell lengths 5.243, 5.567, 9.186 Å; angles 90.00, 124.43, 90.00 degrees
Positions (direct):
Ho: 0.228 0.069 0.248
Ho: 0.228 0.431 0.748
Ho: 0.772 0.569 0.252
Ho: 0.772 0.931 0.752
Mg: 0.000 0.000 0.500
Mg: 0.000 0.500 0.000
Ti: 0.500 0.000 0.000
Ti: 0.500 0.500 0.500
O: 0.141 0.188 0.943
O: 0.141 0.312 0.443
O: 0.252 0.703 0.936
O: 0.252 0.797 0.436
O: 0.375 0.045 0.757
O: 0.375 0.455 0.257
O: 0.625 0.545 0.743
O: 0.625 0.955 0.243
O: 0.748 0.203 0.564
O: 0.748 0.297 0.064
O: 0.859 0.688 0.557
O: 0.859 0.812 0.057

## Properties
Final energy = -19.275 eV/atom
SG = P2_1/c
Formation energy (no corrections) = -36.39 eV per formula unit

***

No. 7
VASP calculation (meta-GGA SCAN) on HoMgV2O6 at its PBEsol-relaxed geometry.

Cell lengths 7.385, 5.379, 5.101 Å; angles 90.00, 90.00, 90.00 degrees
Positions (direct):
Ho: 0.000 0.179 0.000
Ho: 0.500 0.821 0.500
Mg: 0.000 0.691 0.463
Mg: 0.500 0.309 0.963
V: 0.250 0.258 0.483
V: 0.250 0.742 0.983
V: 0.750 0.258 0.483
V: 0.750 0.742 0.983
O: 0.000 0.299 0.588
O: 0.000 0.784 0.853
O: 0.190 0.454 0.182
O: 0.191 0.941 0.299
O: 0.309 0.059 0.799
O: 0.310 0.546 0.682
O: 0.500 0.216 0.353
O: 0.500 0.701 0.088
O: 0.690 0.546 0.682
O: 0.691 0.059 0.799
O: 0.809 0.941 0.299
O: 0.810 0.454 0.182

## Properties
Final energy = -15.690 eV/atom
SG = Pmn2_1
Formation energy (no corrections) = -30.57 eV per formula unit

***

No. 8
VASP calculation (meta-GGA SCAN) on HoMgPd at its PBEsol-relaxed geometry.

Cell lengths 7.318, 7.318, 4.014 Å; angles 90.00, 90.00, 120.00 degrees
Positions (direct):
Ho: 0.000 0.412 0.000
Ho: 0.412 0.000 0.000
Ho: 0.588 0.588 0.000
Mg: 0.000 0.754 0.500
Mg: 0.246 0.246 0.500
Mg: 0.754 0.000 0.500
Pd: 0.000 0.000 0.000
Pd: 0.333 0.667 0.500
Pd: 0.667 0.333 0.500

## Properties
Formation energy = -0.7860 eV per atom
Final energy = -29.698 eV/atom
SG = P-62m

***

no.,volume (Å³ per cell)
1,73.54
2,82.89
3,110.72
4,221.53
5,143.35
6,221.15
7,202.64
8,186.17